# Mn4Tl3O8 | the Alexandria database | GGA+U | relaxed
# calculated total energy: -6.184 eV per atom
# symmetry: C2/m
# N(E_F): 0.1375 states/eV per atom
data_Mn4Tl3O8
_space_group_name_H-M_alt 'P 1'
_space_group_IT_number 1
_cell_length_a 6.429
_cell_length_b 6.744
_cell_length_c 6.744
_cell_angle_alpha 90.61
_cell_angle_beta 119.29
_cell_angle_gamma 119.29
loop_
_space_group_symop_operation_xyz
'x,y,z'
loop_
_atom_site_label
_atom_site_fract_x
_atom_site_fract_y
_atom_site_fract_z
O1 0.000 0.241 0.759
O2 0.500 0.773 0.227
Mn1 0.500 0.000 0.000
O3 0.000 0.759 0.241
Tl1 0.500 0.500 0.000
O4 0.500 0.227 0.773
O5 0.968 0.195 0.195
Mn2 0.000 0.000 0.000
O6 0.032 0.805 0.805
O7 0.433 0.197 0.197
Tl2 0.500 0.500 0.500
Mn3 0.000 0.500 0.000
Mn4 0.000 0.000 0.500
Tl3 0.500 0.000 0.500
O8 0.567 0.803 0.803